[1]
A relaxed structure of Li2ZnW, computed with PBE.

Computed properties:
Crystal system: orthorhombic

Unit cell a=2.510 b=4.409 c=5.602 alpha=90.00 beta=90.00 gamma=90.00
Atoms (fractional coordinates):
W 0.000 0.000 0.519
Zn 0.500 0.500 0.720
Li 0.000 0.000 0.011
Li 0.500 0.500 0.251

[2]
A relaxed structure of LiZnW2, computed with PBE.

Computed properties:
Crystal system: orthorhombic

Unit cell a=2.606 b=4.224 c=5.640 alpha=90.00 beta=90.00 gamma=90.00
Atoms (fractional coordinates):
Li 0.500 0.500 0.732
Zn 0.000 0.000 0.518
W 0.500 0.500 0.238
W 0.000 0.000 0.012

[3]
A relaxed structure of Li2ZnW, computed with PBE.

Computed properties:
Crystal system: orthorhombic

Unit cell a=2.535 b=4.448 c=5.352 alpha=90.00 beta=90.00 gamma=90.00
Atoms (fractional coordinates):
Li 0.000 0.000 0.497
Zn 0.500 0.500 0.750
Li 0.000 0.000 0.003
W 0.500 0.500 0.250

[4]
A relaxed structure of LiZn2W, computed with PBE.

Computed properties:
Crystal system: tetragonal

Unit cell a=2.654 b=2.654 c=8.587 alpha=90.00 beta=90.00 gamma=90.00
Atoms (fractional coordinates):
Zn 0.000 0.000 0.001
Zn 0.500 0.500 0.250
Li 0.000 0.000 0.491
W 0.500 0.500 0.758

[5]
A relaxed structure of Li2ZnW, computed with PBE.

Computed properties:
Crystal system: tetragonal

Unit cell a=2.595 b=2.595 c=9.113 alpha=90.00 beta=90.00 gamma=90.00
Atoms (fractional coordinates):
Li 0.000 0.000 0.504
Zn 0.500 0.500 0.750
W 0.500 0.500 0.250
Li 0.000 0.000 0.996

[6]
A relaxed structure of LiZn2W, computed with PBE.

Computed properties:
Crystal system: monoclinic

Unit cell a=5.195 b=5.195 c=4.850 alpha=71.53 beta=71.53 gamma=29.04
Atoms (fractional coordinates):
Zn 0.011 0.011 0.078
W 0.264 0.264 0.168
Li 0.488 0.488 0.573
Zn 0.738 0.738 0.681

no.,formation energy (meV/atom)
1,351
2,346
3,410
4,197
5,251
6,167